# BaZnGa, optimized geometry, DFT PBE-GGA
# * calculated total energy: -1.81 eV/atom
data_BaZnGa
_cell_length_a 7.524
_cell_length_b 7.524
_cell_length_c 7.524
_cell_angle_alpha 90.00
_cell_angle_beta 90.00
_cell_angle_gamma 90.00
_symmetry_space_group_name_H-M 'F -4 3 m'
_symmetry_Int_Tables_number 216
_symmetry_space_group_name_Hall 'F -4 2 3'
loop_
_atom_site_label
_atom_site_type_symbol
_atom_site_fract_x
_atom_site_fract_y
_atom_site_fract_z
_atom_site_occupancy
Ba1 Ba 0.000 0.000 0.000 1
Zn1 Zn 0.250 0.250 0.250 1
Ga1 Ga 0.250 0.250 0.750 1


# BaZnGa6, optimized geometry, DFT PBE-GGA
# * calculated total energy: -2.96 eV/atom
data_BaZnGa6
_cell_length_a 4.644
_cell_length_b 4.644
_cell_length_c 7.907
_cell_angle_alpha 90.00
_cell_angle_beta 90.00
_cell_angle_gamma 90.00
_symmetry_space_group_name_H-M 'P 4/m m m'
_symmetry_Int_Tables_number 123
_symmetry_space_group_name_Hall '-P 4 2'
loop_
_atom_site_label
_atom_site_type_symbol
_atom_site_fract_x
_atom_site_fract_y
_atom_site_fract_z
_atom_site_occupancy
Ba1 Ba 0.000 0.000 0.000 1
Zn1 Zn 0.000 0.000 0.500 1
Ga1 Ga 0.000 0.500 0.331 1
Ga2 Ga 0.500 0.500 0.164 1


# Ba2Zn2Ga, optimized geometry, DFT PBE-GGA
# * calculated total energy: -1.94 eV/atom
data_Ba2Zn2Ga
_cell_length_a 4.165
_cell_length_b 4.165
_cell_length_c 17.847
_cell_angle_alpha 90.00
_cell_angle_beta 90.00
_cell_angle_gamma 90.00
_symmetry_space_group_name_H-M 'I 4/m m m'
_symmetry_Int_Tables_number 139
_symmetry_space_group_name_Hall '-I 4 2'
loop_
_atom_site_label
_atom_site_type_symbol
_atom_site_fract_x
_atom_site_fract_y
_atom_site_fract_z
_atom_site_occupancy
Ba1 Ba 0.000 0.000 0.104 1
Zn1 Zn 0.000 0.500 0.250 1
Ga1 Ga 0.000 0.000 0.500 1


# Ba2ZnGa7, optimized geometry, DFT PBE-GGA
# * calculated total energy: -3.05 eV/atom
data_Ba2ZnGa7
_cell_length_a 4.589
_cell_length_b 4.589
_cell_length_c 10.869
_cell_angle_alpha 90.00
_cell_angle_beta 90.00
_cell_angle_gamma 90.00
_symmetry_space_group_name_H-M 'P -4 m 2'
_symmetry_Int_Tables_number 115
loop_
_symmetry_equiv_pos_as_xyz
'x,y,z'
'y,-x,-z'
'-x,-y,z'
'-y,x,-z'
'-x,y,z'
'-y,-x,-z'
'x,-y,z'
'y,x,-z'
loop_
_atom_site_label
_atom_site_type_symbol
_atom_site_fract_x
_atom_site_fract_y
_atom_site_fract_z
_atom_site_occupancy
Ba1 Ba 0.000 0.500 0.249 1
Zn1 Zn 0.500 0.500 0.000 1
Ga1 Ga 0.000 0.000 0.000 1
Ga2 Ga 0.000 0.000 0.500 1
Ga3 Ga 0.000 0.500 0.631 1
Ga4 Ga 0.000 0.500 0.874 1
Ga5 Ga 0.500 0.500 0.500 1